1.
Compound: LaIrC3
Source: the Alexandria database
Functional: PBE
Structure: optimized geometry

Polymorph energy (0 for the lowest one) = 2318 meV/atom
Space group = Pm-3m (221)
Crystal system = cubic
ρ = 7.6 Mg/m³
Uncorrected energy = -4.925 eV/atom
D(E_F) = 2.98 states/eV/f.u.
Formation energy from the elements = 3.3675 eV/atom

Lattice parameters (Å, degrees): 4.3151 4.3151 4.3151 90.00 90.00 90.00
Last column: nearest neighbours and their distance in Å.
Sites, in units of the cell vectors:
C1 0.5000 0.0000 0.0000  2 La 2.16
C2 0.0000 0.5000 0.0000  2 La 2.16
C3 0.0000 0.0000 0.5000  2 La 2.16
Ir1 0.5000 0.5000 0.5000  12 C 3.05
La1 0.0000 0.0000 0.0000  6 C 2.16

=====

2.
Compound: La2IrC
Source: the Alexandria database
Functional: PBE
Structure: optimized geometry

Space group = I-42d (122)
Crystal system = tetragonal
ρ = 8.3 Mg/m³
Uncorrected energy = -6.862 eV/atom
D(E_F) = 2.63 states/eV/f.u.
Formation energy from the elements = 0.1226 eV/atom

Lattice parameters (Å, degrees): 7.0120 7.0120 6.3302 56.37 56.37 90.00
Last column: nearest neighbours and their distance in Å.
Sites, in units of the cell vectors:
Ir1 0.0000 0.0000 0.0000  4 La 2.84
Ir2 0.7500 0.2500 0.5000  4 La 2.84
C1 0.2500 0.7500 0.5000  4 La 2.50
C2 0.5000 0.5000 0.0000  4 La 2.50
La1 0.3750 0.4119 0.7500  2 C 2.50
La2 0.8750 0.8381 0.7500  2 C 2.50
La3 0.5881 0.1250 0.2500  2 C 2.50
La4 0.1619 0.6250 0.2500  2 C 2.50

=====

3.
Compound: La6Ir2C
Source: the Alexandria database
Functional: PBE
Structure: optimized geometry

Space group = P2_1/c (14)
Crystal system = monoclinic
ρ = 8.0 Mg/m³
Uncorrected energy = -6.718 eV/atom
D(E_F) = 9.18 states/eV/f.u.
Formation energy from the elements = -0.4392 eV/atom

Lattice parameters (Å, degrees): 6.7966 7.4574 10.0465 90.00 88.53 90.00
Last column: nearest neighbours and their distance in Å.
Sites, in units of the cell vectors:
La1 0.6864 0.1691 0.4376  1 C 2.57
La2 0.8136 0.6691 0.0624  1 C 2.57
La3 0.6307 0.4495 0.7595  1 C 2.58, 1 Ir 2.85
La4 0.6695 0.1906 0.0667  1 C 2.67
La5 0.3136 0.8309 0.5624  1 C 2.57
La6 0.1695 0.3094 0.5667  1 C 2.67
La7 0.3305 0.8094 0.9333  1 C 2.67
La8 0.3693 0.5505 0.2405  1 C 2.58, 1 Ir 2.85
La9 0.8693 0.9495 0.7405  1 C 2.58, 1 Ir 2.85
La10 0.1307 0.0505 0.2595  1 C 2.58, 1 Ir 2.85
La11 0.8305 0.6906 0.4333  1 C 2.67
La12 0.1864 0.3309 0.9376  1 C 2.57
C1 0.5000 0.5000 0.0000  6 La 2.57-2.67
C2 0.0000 0.0000 0.5000  6 La 2.57-2.67
Ir1 0.4521 0.1043 0.7428  6 La 2.85-3.12
Ir2 0.9521 0.3957 0.2428  6 La 2.85-3.12
Ir3 0.5479 0.8957 0.2572  6 La 2.85-3.12
Ir4 0.0479 0.6043 0.7572  6 La 2.85-3.12

=====

4.
Compound: LiLa2IrC
Source: the Alexandria database
Functional: PBE
Structure: optimized geometry

Space group = P4/mmm (123)
Crystal system = tetragonal
ρ = 7.2 Mg/m³
Uncorrected energy = -6.305 eV/atom
D(E_F) = 2.49 states/eV/f.u.
Formation energy from the elements = -0.3345 eV/atom

Lattice parameters (Å, degrees): 5.3770 5.3770 3.9104 90.00 90.00 90.00
Last column: nearest neighbours and their distance in Å.
Sites, in units of the cell vectors:
C1 0.0000 0.0000 0.0000  2 Ir 1.96
Ir1 0.0000 0.0000 0.5000  2 C 1.96
Li1 0.5000 0.5000 0.5000  8 La 3.32
La1 0.5000 0.0000 0.0000  2 C 2.69
La2 0.0000 0.5000 0.0000  2 C 2.69

=====

5.
Compound: La2MnIrC
Source: the Alexandria database
Functional: PBE
Structure: optimized geometry

Polymorph energy (0 for the lowest one) = 0 meV/atom
Space group = P4/mmm (123)
Crystal system = tetragonal
ρ = 8.6 Mg/m³
Uncorrected energy = -7.602 eV/atom
D(E_F) = 3.73 states/eV/f.u.
Formation energy from the elements = -0.1798 eV/atom

Lattice parameters (Å, degrees): 5.2549 5.2549 3.7713 90.00 90.00 90.00
Last column: nearest neighbours and their distance in Å.
Sites, in units of the cell vectors:
Ir1 0.5000 0.5000 0.5000  8 La 3.23
La1 0.0000 0.5000 0.0000  2 C 2.63
La2 0.5000 0.0000 0.0000  2 C 2.63
Mn1 0.0000 0.0000 0.5000  2 C 1.89
C1 0.0000 0.0000 0.0000  2 Mn 1.89

=====

6.
Compound: La2MnIrC
Source: the Alexandria database
Functional: PBE
Structure: optimized geometry

Polymorph energy (0 for the lowest one) = 45 meV/atom
Space group = P4/mmm (123)
Crystal system = tetragonal
ρ = 8.0 Mg/m³
Uncorrected energy = -7.557 eV/atom
D(E_F) = 3.05 states/eV/f.u.
Formation energy from the elements = -0.1348 eV/atom

Lattice parameters (Å, degrees): 5.3761 5.3761 3.8752 90.00 90.00 90.00
Last column: nearest neighbours and their distance in Å.
Sites, in units of the cell vectors:
Mn1 0.5000 0.5000 0.5000  8 La 3.31
Ir1 0.0000 0.0000 0.5000  2 C 1.94
La1 0.0000 0.5000 0.0000  2 C 2.69
La2 0.5000 0.0000 0.0000  2 C 2.69
C1 0.0000 0.0000 0.0000  2 Ir 1.94